(1)
Entry from the Alexandria database: Nd11Tl9Cu4 after structural relaxation (PBE-GGA).

Calculated density ... 9.330 Mg/m³
Energy of formation ... -7.80 eV/f.u.
Energy ... -97.9 eV per formula unit

Cell: 3.8625 13.5658 13.5658 Å, 112.85 90.00 90.00°
Fractional positions:
Nd: 0.0000 0.8361 0.1639
Nd: 0.0000 0.3722 0.6278
Nd: 0.0000 0.6278 0.3722
Nd: 0.0000 0.9249 0.5855
Nd: 0.0000 0.0000 0.0000
Cu: 0.5000 0.4495 0.2507
Tl: 0.5000 0.5000 0.5000
Nd: 0.0000 0.5855 0.9249
Cu: 0.5000 0.2507 0.4495
Tl: 0.5000 0.7825 0.9276
Tl: 0.5000 0.1561 0.6298
Cu: 0.5000 0.7493 0.5505
Nd: 0.0000 0.4145 0.0751
Cu: 0.5000 0.5505 0.7493
Tl: 0.5000 0.2175 0.0724
Nd: 0.0000 0.6925 0.6925
Tl: 0.5000 0.8439 0.3702
Tl: 0.5000 0.9276 0.7825
Tl: 0.5000 0.6298 0.1561
Nd: 0.0000 0.0751 0.4145
Tl: 0.5000 0.0724 0.2175
Tl: 0.5000 0.3702 0.8439
Nd: 0.0000 0.3075 0.3075
Nd: 0.0000 0.1639 0.8361

(2)
Entry from the Alexandria database: Na2TcB2 after structural relaxation (PBE-GGA).

ΔE to the lowest computed polymorph ... 122.1 meV per atom
Calculated density ... 4.509 Mg/m³
Energy of formation ... 4.16 eV/f.u.
Energy ... -22.2 eV per formula unit

Cell: 3.2554 3.2554 6.1978 Å, 74.77 74.77 90.00°
Fractional positions:
B: 0.5720 0.5720 0.8559
Na: 0.2500 0.7500 0.5000
Na: 0.7500 0.2500 0.5000
B: 0.4280 0.4280 0.1441
Tc: 0.0000 0.0000 0.0000

Q: Look up the energy of the second one.
A: -22.2 eV per formula unit

Q: The highest calculated density belongs to which entry?
A: Nd11Tl9Cu4